Record 1
Entry from Alexandria: a geometry-optimized ScAu2Cl structure (PBE).

abc: 4.855 4.855 4.855
angles: 60.00 60.00 60.00
Atoms (fractional coordinates):
Au 0.750 0.750 0.750
Cl 0.000 0.000 0.000
Au 0.250 0.250 0.250
Sc 0.500 0.500 0.500

Results
The calculation puts the raw formation energy at -0.32 eV per atom. The density of states at the Fermi level comes out at 0.03 states/eV/cell. The energy above the most stable polymorph in this dataset comes out at 510 meV/atom. Its energy is -4.005 eV per atom. As for the space group: Fm-3m, No. 225.

***

Record 2
Entry from Alexandria: a geometry-optimized Ho5Er3Tm4 structure (PBE).

abc: 5.774 8.450 9.462
angles: 105.99 72.24 70.02
Last column: magnetic moment on the atom in μB.
Atoms (fractional coordinates):
Ho 0.626 0.948 0.799  0.01
Tm 0.859 0.221 0.061  0.01
Er 0.479 0.312 0.730  0.01
Tm 0.164 0.050 0.623  0.00
Er 0.000 0.500 0.500  0.20
Tm 0.836 0.950 0.377  0.00
Ho 0.500 0.500 0.500  0.20
Ho 0.788 0.539 0.886  0.02
Tm 0.141 0.779 0.939  0.01
Er 0.521 0.688 0.270  0.01
Ho 0.212 0.461 0.114  0.02
Ho 0.374 0.052 0.201  0.01

Results
The formation energy comes out at 0.26 eV per atom. The density of states at the Fermi level comes out at 19.65 states/eV/cell. The energy above the most stable polymorph in this dataset comes out at 232 meV/atom. Its energy is -4.283 eV per atom. As for the space group: C2/m, No. 12.

***

Record 3
Entry from Alexandria: a geometry-optimized PtSCl2F structure (PBE).

abc: 5.300 5.300 3.573
angles: 90.00 90.00 90.00
Last column: magnetic moment on the atom in μB.
Atoms (fractional coordinates):
Cl 0.000 0.500 0.000  0.29
S 0.000 0.000 0.500  0.73
Pt 0.500 0.500 0.500  1.01
Cl 0.500 0.000 0.000  0.29
F 0.000 0.000 0.000  0.08

Results
The calculation puts the raw formation energy at 0.82 eV per atom. The density of states at the Fermi level comes out at 4.93 states/eV/cell. The energy above the most stable polymorph in this dataset comes out at 630 meV/atom. Its energy is -2.325 eV per atom. As for the space group: P4/mmm, No. 123.

***

Record 4
Entry from Alexandria: a geometry-optimized Ba4SbPt structure (PBE).

abc: 6.901 6.901 6.901
angles: 60.00 60.00 60.00
Atoms (fractional coordinates):
Pt 0.750 0.750 0.750
Ba 0.875 0.375 0.375
Ba 0.375 0.375 0.875
Ba 0.375 0.375 0.375
Sb 0.000 0.000 0.000
Ba 0.375 0.875 0.375

Results
The calculation puts the raw formation energy at 0.26 eV per atom. The density of states at the Fermi level comes out at 4.96 states/eV/cell. Its energy is -2.714 eV per atom. As for the space group: F-43m, No. 216.